LaTlTc2 after structural relaxation. Source: Alexandria, functional PBE-GGA. Values from VASP.

* Fermi-level density of states: 4.302 states/eV/cell
* VASP energy: -6.4356 eV per atom
* E_form: 0.571 eV/atom
* calculated density: 11036 kg/m³
* M_tot: 2.31 Bohr magnetons per cell
* energy relative to the lowest polymorph listed for this composition: 10.73 kcal/mol of atoms

```
&SYSTEM
  ibrav = 0, nat = 4, ntyp = 3
/
ATOMIC_SPECIES
Tl 204.38 Tl.upf
Tc 98.00 Tc.upf
La 138.91 La.upf
ATOMIC_POSITIONS crystal
Tl 0.5000 0.5000 0.5000
Tc 0.2500 0.2500 0.2500
Tc 0.7500 0.7500 0.7500
La 0.0000 0.0000 0.0000
CELL_PARAMETERS angstrom
2.4535 1.3526 3.9705
-2.4026 1.5296 3.9372
-0.1282 -2.7643 3.9945
```